No. 1
# Ho2Re

Crystalline Ho2Re at its relaxed geometry (PBE, OQMD via LeMat-Bulk).

Computed properties:
Formation energy from the elements = 3.8 eV per formula unit
Total magnetic moment = 0.0 μB per formula unit
V = 68 Å³/f.u.
Final energy = -5.94 eV/atom

Cell and atoms, written as extended XYZ:
```
6
Lattice="0.0000 4.0813 4.0813 4.0813 0.0000 4.0813 4.0813 4.0813 0.0000" Properties=species:S:1:pos:R:3 pbc="T T T"
Ho 3.0610 5.1016 3.0610
Ho 5.1016 3.0610 3.0610
Re 2.0406 2.0406 2.0406
Ho 3.0610 3.0610 5.1016
Ho 5.1016 5.1016 5.1016
Re 0.0000 0.0000 0.0000
```



No. 2
# YCuGeTe3

Crystalline YCuGeTe3 at its relaxed geometry (PBE, OQMD via LeMat-Bulk).

Computed properties:
Total magnetic moment = 0.0 μB per formula unit
V = 168 Å³/f.u.
Final energy = -4.60 eV/atom

Cell and atoms, written as extended XYZ:
```
24
Lattice="12.3750 0.0000 0.0000 0.0000 4.3602 0.0000 0.0000 0.0000 12.4861" Properties=species:S:1:pos:R:3 pbc="T T T"
Cu 9.5001 0.0000 2.5794
Y 6.5845 0.0000 10.0632
Ge 2.7744 0.0000 11.4326
Te 11.1546 2.1801 6.9735
Ge 8.9619 0.0000 7.2966
Cu 9.0625 2.1801 8.8224
Ge 9.6006 2.1801 1.0535
Y 11.9781 2.1801 3.8202
Te 5.7058 0.0000 4.6416
Y 0.3970 0.0000 8.6659
Te 6.6692 2.1801 7.8445
Ge 3.4131 2.1801 5.1895
Te 1.2204 0.0000 5.5126
Te 11.8933 0.0000 1.6015
Te 7.4079 0.0000 0.7305
Te 0.4817 2.1801 10.8846
Cu 3.3126 0.0000 3.6637
Te 2.6472 2.1801 2.3570
Te 3.5403 0.0000 8.6001
Te 4.9671 2.1801 11.7556
Cu 2.8750 2.1801 9.9067
Te 9.7279 0.0000 10.1290
Te 8.8347 2.1801 3.8860
Y 5.7906 2.1801 2.4229
```



No. 3
# PmLuFe

Crystalline PmLuFe at its relaxed geometry (PBE, OQMD via LeMat-Bulk).

Computed properties:
Formation energy from the elements = 0.7 eV per formula unit
Total magnetic moment = 0.1 μB per formula unit
V = 72 Å³/f.u.
Final energy = -5.64 eV/atom

Cell and atoms, written as extended XYZ:
```
3
Lattice="0.0000 3.3079 3.3079 3.3079 0.0000 3.3079 3.3079 3.3079 0.0000" Properties=species:S:1:pos:R:3 pbc="T T T"
Pm 4.9618 4.9618 4.9618
Fe 0.0000 0.0000 0.0000
Lu 1.6539 1.6539 1.6539
```



No. 4
# TbDy2Sb3

Crystalline TbDy2Sb3 at its relaxed geometry (PBE, OQMD via LeMat-Bulk).

Computed properties:
Total magnetic moment = 0.0 μB per formula unit
V = 179 Å³/f.u.
Final energy = -5.50 eV/atom

Cell and atoms, written as extended XYZ:
```
6
Lattice="-0.2625 -2.8016 3.3606 3.8306 0.6279 -2.0357 2.3190 7.9629 6.8194" Properties=species:S:1:pos:R:3 pbc="T T T"
Dy 3.0346 4.9784 7.2455
Sb 4.0138 4.7989 4.3141
Dy 2.8524 0.8108 0.8987
Sb 1.8732 0.9903 3.8302
Sb 0.0000 0.0000 0.0000
Tb 1.1595 3.9815 3.4097
```



No. 5
# YHfAu4

Crystalline YHfAu4 at its relaxed geometry (PBE, OQMD via LeMat-Bulk).

Computed properties:
Formation energy from the elements = -4.3 eV per formula unit
Total magnetic moment = 0.0 μB per formula unit
V = 118 Å³/f.u.
Final energy = -5.62 eV/atom

Cell and atoms, written as extended XYZ:
```
6
Lattice="3.6372 0.0000 0.0000 0.0000 3.6372 0.0000 0.0000 0.0000 8.9328" Properties=species:S:1:pos:R:3 pbc="T T T"
Y 1.8186 1.8186 4.4664
Au 1.8186 1.8186 1.4205
Hf 0.0000 0.0000 0.0000
Au 1.8186 1.8186 7.5124
Au 0.0000 0.0000 6.0311
Au 0.0000 0.0000 2.9017
```



No. 6
# PrF3

Crystalline PrF3 at its relaxed geometry (PBE, OQMD via LeMat-Bulk).

Computed properties:
Total magnetic moment = 0.0 μB per formula unit
V = 62 Å³/f.u.
Final energy = -6.40 eV/atom

Cell and atoms, written as extended XYZ:
```
8
Lattice="3.2756 3.4260 3.4299 5.7595 -0.5623 0.8622 4.0973 3.7437 -1.8515" Properties=species:S:1:pos:R:3 pbc="T T T"
F 5.8409 2.7062 -0.8419
Pr 0.0000 0.0000 0.0000
F 8.5522 2.3599 0.6718
Pr 6.5662 3.3037 1.2203
F 5.9944 1.3056 2.1239
F 4.5802 4.2475 1.7688
F 7.2915 3.9013 3.2825
F 7.1380 5.3018 0.3167
```



No. 7
# NdGdCu2Bi4

Crystalline NdGdCu2Bi4 at its relaxed geometry (PBE, OQMD via LeMat-Bulk).

Computed properties:
Total magnetic moment = 0.0 μB per formula unit
V = 204 Å³/f.u.
Final energy = -4.60 eV/atom

Cell and atoms, written as extended XYZ:
```
8
Lattice="-1.6868 -3.6114 -2.2122 3.8416 -2.3072 0.8372 -3.8480 -3.3551 8.4112" Properties=species:S:1:pos:R:3 pbc="T T T"
Bi -3.2329 -2.8187 7.0666
Nd -1.8549 -5.5159 5.7220
Cu 1.9074 -1.1653 0.4480
Bi 0.4408 -3.5143 0.7040
Cu -0.8568 -1.8174 -1.0767
Gd -0.9023 -0.7868 1.9724
Bi -2.7500 -3.4680 3.0613
Bi 0.0142 -2.8159 4.5861
```



No. 8
# Ga2Cu5Ni

Crystalline Ga2Cu5Ni at its relaxed geometry (PBE, OQMD via LeMat-Bulk).

Computed properties:
Total magnetic moment = 0.0 μB per formula unit
V = 98 Å³/f.u.
Final energy = -3.87 eV/atom

Cell and atoms, written as extended XYZ:
```
8
Lattice="-1.6466 -0.4269 -3.7377 -3.6923 -0.5985 1.6949 -1.0203 5.7176 -0.2035" Properties=species:S:1:pos:R:3 pbc="T T T"
Ga -3.1796 2.3461 -1.1232
Ni -0.5101 2.8588 -0.1018
Cu -2.6694 -0.5127 -1.0214
Cu -1.5883 4.0736 -2.0215
Cu -2.1014 1.1313 0.7965
Cu -2.6112 3.9877 0.6949
Ga 0.0000 0.0000 0.0000
Cu -1.0786 1.2172 -1.9198
```



No. 9
# BeCoCuMo

Crystalline BeCoCuMo at its relaxed geometry (PBE, OQMD via LeMat-Bulk).

Computed properties:
Total magnetic moment = 0.0 μB per formula unit
V = 46 Å³/f.u.
Final energy = -6.32 eV/atom

Cell and atoms, written as extended XYZ:
```
4
Lattice="-3.7648 -1.2220 -0.6589 -2.5774 -0.2981 3.0610 -3.0391 2.6000 0.3243" Properties=species:S:1:pos:R:3 pbc="T T T"
Co -4.6907 0.5399 1.3632
Mo -2.3454 0.2700 0.6816
Cu -7.0360 0.8099 2.0448
Be 0.0000 0.0000 0.0000
```



No. 10
# NaCuNiSeS2

Crystalline NaCuNiSeS2 at its relaxed geometry (PBE, OQMD via LeMat-Bulk).

Computed properties:
Total magnetic moment = 0.0 μB per formula unit
V = 109 Å³/f.u.
Final energy = -4.09 eV/atom

Cell and atoms, written as extended XYZ:
```
12
Lattice="2.7100 5.0691 -3.6938 -3.6416 -5.7638 0.4496 -7.9829 5.1367 1.1925" Properties=species:S:1:pos:R:3 pbc="T T T"
S -0.0048 1.0688 -2.0577
Se -9.1631 -1.1170 1.0402
Cu -2.1145 1.5287 -1.5503
S -8.9097 3.3733 0.0060
Ni -3.9914 2.5684 0.5962
Se 0.2487 5.5591 -3.0919
Na -4.1014 -1.8599 -0.2542
Na -4.8131 6.3020 -1.7975
Cu -6.7999 2.9134 -0.5014
S -3.4600 3.2921 -1.5416
Ni 0.0000 0.0000 0.0000
S -5.4545 1.1500 -0.5102
```



No. 11
# ThZn2

Crystalline ThZn2 at its relaxed geometry (PBE, OQMD via LeMat-Bulk).

Computed properties:
Formation energy from the elements = -0.6 eV per formula unit
Total magnetic moment = 0.0 μB per formula unit
V = 63 Å³/f.u.
Final energy = -3.53 eV/atom

Cell and atoms, written as extended XYZ:
```
24
Lattice="6.1284 11.1523 0.0000 -6.8704 5.9750 0.0000 0.0000 0.0000 4.4787" Properties=species:S:1:pos:R:3 pbc="T T T"
Zn -2.1318 2.0832 0.0000
Th -6.3384 6.0155 0.0000
Zn -4.1999 6.3552 2.2393
Zn 0.8424 2.2422 2.2393
Zn 1.5554 8.3108 2.2393
Th 4.6338 8.8475 2.2393
Zn 0.6600 10.7826 2.2393
Th -0.0818 12.9303 0.0000
Zn -1.8246 11.7234 2.2393
Zn -2.6928 10.6723 0.0000
Zn 2.2726 12.8619 2.2393
Th 2.8054 10.3848 0.0000
Zn -2.8540 6.3839 0.0000
Th -1.9492 8.5242 2.2393
Th 2.0329 5.0932 2.2393
Zn 0.8254 15.0690 2.2393
Th 0.2047 6.6304 0.0000
Th -1.8207 4.2842 2.2393
Zn 4.6736 11.9859 2.2393
Zn -4.3027 8.5906 0.0000
Zn -0.2059 9.7296 0.0000
Zn 3.2803 7.1681 0.0000
Zn 0.1662 3.4931 0.0000
Zn -3.9582 3.9463 0.0000
```



No. 12
# Nb4AsN3

Crystalline Nb4AsN3 at its relaxed geometry (PBE, OQMD via LeMat-Bulk).

Computed properties:
Total magnetic moment = 0.0 μB per formula unit
V = 100 Å³/f.u.
Final energy = -9.51 eV/atom

Cell and atoms, written as extended XYZ:
```
16
Lattice="-1.0259 2.7874 -1.1309 -1.1012 -2.7160 -1.2295 -16.9820 -0.0416 15.3023" Properties=species:S:1:pos:R:3 pbc="T T T"
Nb -14.1722 -0.0348 12.7704
As -13.7875 0.9217 10.3130
N -11.4472 -0.9070 8.1487
N 0.0000 0.0000 0.0000
Nb -5.6812 -0.0139 5.1192
N -7.6619 0.9367 4.7932
Nb -11.3008 -0.0277 10.1831
Nb -8.6396 -0.9001 5.6188
Nb -2.8098 -0.0069 2.5319
N -16.1780 -0.9186 12.4115
As -5.3216 -0.8919 2.6289
Nb -2.0036 -0.8838 -0.3609
Nb -17.1055 0.9136 13.3028
N -8.4910 -0.0208 7.6512
Nb -10.4695 0.9299 7.3231
N -2.9311 0.9483 0.5304
```